First-principles (PBE) data for a geometry-optimized AsIrRh2 structure, as listed in Alexandria via LeMat-Bulk.

Properties
**E**: -7.044 eV/atom
**Magnetic moment**: 2.79 Bohr magnetons per cell

```
data_AsIrRh2
_chemical_formula_sum 'As3 Ir3 Rh6'
_cell_length_a 2.8441
_cell_length_b 2.8441
_cell_length_c 25.1642
_cell_angle_alpha 90.00
_cell_angle_beta 90.00
_cell_angle_gamma 120.00
_space_group_name_H-M_alt 'R -3 m'
_space_group_IT_number 166
_space_group_name_Hall '-R 3 2"'
loop_
_atom_site_label
_atom_site_fract_x
_atom_site_fract_y
_atom_site_fract_z
As1 0.0000 0.0000 0.0000
Ir1 0.0000 0.0000 0.5000
Rh1 0.0000 0.0000 0.2553
```